1.
12
Lattice="2.883 -4.993 0.000 2.883 4.993 0.000 -1.921 0.000 6.179" Properties=species:S:1:pos:R:3 comment="PBE-GGA K3Sc2SnO6, relaxed" sg="No. 12" total_magnetization_mub_per_cell=0.40 formation_energy_uncorrected_mev_per_atom=-2249 pbc="T T T"
K 0.000 0.000 0.000
K 2.883 1.645 0.000
K 2.883 -1.645 0.000
Sc 1.922 3.327 3.090
Sc 1.922 -3.327 3.090
Sn 1.922 0.000 3.090
O 0.915 1.745 1.968
O -0.092 0.000 4.208
O 0.915 -1.745 1.968
O 2.929 1.745 4.211
O 3.935 0.000 1.971
O 2.929 -1.745 4.211

***

2.
5
Lattice="4.224 0.000 0.000 0.000 4.224 0.000 0.000 0.000 4.581" Properties=species:S:1:pos:R:3 comment="PBE-GGA KMnNbB2, relaxed" formation_enthalpy_0k_kj_per_mol_fu=1746 sg="No. 123" total_magnetization_mub_per_cell=0.21 pbc="T T T"
K 0.000 0.000 0.000
Mn 2.112 2.112 2.290
Nb 0.000 0.000 2.290
B 0.000 2.112 0.000
B 2.112 0.000 0.000

***

3.
7
Lattice="5.470 -2.151 0.000 5.470 2.151 0.000 -3.016 0.000 7.576" Properties=species:S:1:pos:R:3 comment="PBE-GGA Ca2Bi3Rh2, relaxed" formation_enthalpy_0k_kj_per_mol_fu=-287 sg="No. 12" total_magnetization_mub_per_cell=0.00 pbc="T T T"
Ca 0.780 0.000 2.318
Ca 7.143 0.000 5.258
Bi 3.906 0.000 0.399
Bi 3.962 0.000 3.788
Bi 4.017 0.000 7.178
Rh -0.621 0.000 5.546
Rh 8.544 0.000 2.031